[1]
Entry from Alexandria via LeMat-Bulk: an optimized crystal structure of GaHgO (GGA-PBE).

Output
For the final energy, the calculation gives -41.02 eV per cell.

The structure in POSCAR format:
```
GaHgO
1.0
-5.5716 5.5716 2.3163
5.5716 -5.5716 2.3163
5.5716 5.5716 -2.3163
Ga Hg O
4 4 4
direct
0.0000 0.2173 0.2173 Ga
0.0000 0.7827 0.7827 Ga
0.2173 0.0000 0.2173 Ga
0.7827 0.0000 0.7827 Ga
0.1501 0.5000 0.6501 Hg
0.5000 0.1501 0.6501 Hg
0.5000 0.8499 0.3499 Hg
0.8499 0.5000 0.3499 Hg
0.1449 0.1449 0.2898 O
0.1449 0.8551 0.0000 O
0.8551 0.1449 0.0000 O
0.8551 0.8551 0.7102 O
```



[2]
Entry from Alexandria via LeMat-Bulk: an optimized crystal structure of Sr2HgSb (GGA-PBE).

Output
Its excess energy over the best structure of this formula in the dataset is 0.0 meV/atom. For the final energy, the calculation gives -22.04 eV per cell.

The structure in POSCAR format:
```
Sr2HgSb
1.0
4.8316 0.0000 0.0000
0.0000 4.7066 0.0000
0.0000 0.0000 12.1645
Sr Hg Sb
4 2 2
direct
0.0000 0.0000 0.0000 Sr
0.0000 0.5000 0.5000 Sr
0.5000 0.0000 0.2690 Sr
0.5000 0.5000 0.7690 Sr
0.5000 0.0000 0.5429 Hg
0.5000 0.5000 0.0429 Hg
0.0000 0.0000 0.7169 Sb
0.0000 0.5000 0.2169 Sb
```



Quick rundown of density, same order as above: 6.6, 6.0 Mg/m³
Quick rundown of E_form (uncorrected), same order as above: -63.29, -78.01 kJ per mole of atoms
Quick rundown of total moment, same order as above: 0.00, 0.00 μB/f.u.